PmCuNiP2 | Alexandria | PBE | optimized geometry; ΔE_f = -396 kJ/mol of formula units; crystal system = tetragonal; spin magnetization = 0.00 μB per atom
1.0
-0.647 -1.351 3.597
-0.522 -3.583 -1.439
5.597 1.518 -0.534
Cu Ni Pm P
1 1 1 2
Direct
0.250 0.750 0.500 Cu
0.750 0.250 0.500 Ni
0.000 0.000 0.000 Pm
0.373 0.373 0.746 P
0.627 0.627 0.254 P

---

CaY2Br | Alexandria | PBE | optimized geometry; uncorrected formation energy = -547.3 meV/atom; energy relative to the lowest polymorph listed for this composition = 0.0 meV/atom; crystal system = orthorhombic; spin magnetization = 0.00 μB per atom
1.0
-2.140 -2.652 1.245
2.814 -2.324 -0.113
3.755 1.234 9.079
Ca Y Br
1 2 1
Direct
0.500 0.701 0.722 Ca
0.500 0.436 0.254 Y
0.000 0.058 0.008 Y
0.000 0.305 0.516 Br

---

NaNd2UAs4 | Alexandria | PBE | optimized geometry; ΔE_f = -734 kJ/mol of formula units; crystal system = monoclinic; spin magnetization = 0.12 μB per atom
1.0
4.217 0.000 0.000
0.000 7.252 0.192
0.000 -2.493 6.805
Nd As Na U
2 4 1 1
Direct
0.000 0.500 0.500 Nd
0.500 0.000 0.500 Nd
0.000 0.231 0.761 As
0.000 0.769 0.239 As
0.500 0.237 0.237 As
0.500 0.763 0.763 As
0.500 0.500 0.000 Na
0.000 0.000 0.000 U

---

HfThZr2 | Alexandria | PBE | optimized geometry; energy relative to the lowest polymorph listed for this composition = 50.0 meV/atom; ΔE_f = 48 kJ/mol of formula units; crystal system = trigonal; spin magnetization = 0.00 μB per atom
1.0
-3.243 0.486 -0.247
-2.087 -2.441 0.709
-2.072 2.565 10.365
Th Zr Hf
1 2 1
Direct
0.000 0.000 0.000 Th
0.245 0.245 0.264 Zr
0.755 0.755 0.736 Zr
0.500 0.500 0.500 Hf

---

SnBiPd | Alexandria | PBE | optimized geometry; energy relative to the lowest polymorph listed for this composition = 60.9 meV/atom; ΔE_f = -61 kJ/mol of formula units; crystal system = trigonal; spin magnetization = 0.00 μB per atom
1.0
-5.104 -1.220 2.973
1.985 -0.615 3.155
-1.282 3.467 -0.780
Sn Bi Pd
1 1 1
Direct
0.281 0.333 0.667 Sn
0.708 0.667 0.333 Bi
0.011 0.000 0.000 Pd

---

SmDy2Te5 | Alexandria | PBE | optimized geometry; uncorrected formation energy = -1190.2 meV/atom; crystal system = tetragonal; spin magnetization = 0.00 μB per atom
1.0
8.137 0.000 0.000
0.000 8.137 0.000
-4.068 -4.068 7.161
Sm Dy Te
2 4 10
Direct
0.250 0.250 0.500 Sm
0.750 0.750 0.500 Sm
0.849 0.651 0.000 Dy
0.651 0.151 0.000 Dy
0.349 0.849 0.000 Dy
0.151 0.349 0.000 Dy
0.490 0.307 0.296 Te
0.010 0.510 0.704 Te
0.307 0.807 0.296 Te
0.193 0.010 0.704 Te
0.510 0.693 0.704 Te
0.693 0.193 0.704 Te
0.500 0.500 0.000 Te
0.990 0.490 0.296 Te
0.807 0.990 0.296 Te
0.000 0.000 0.000 Te